Version i
The following is a DFT calculation (PBE-GGA) of Sr2NbMo2 after structural relaxation.

a = 3.5007 Å, b = 3.5007 Å, c = 11.5209 Å
α = 81.26°, β = 81.26°, γ = 90.00°
Sites, in units of the cell vectors:
Sr1 0.3881 0.3881 0.2238
Sr2 0.6119 0.6119 0.7762
Mo1 0.7500 0.2500 0.5000
Mo2 0.2500 0.7500 0.5000
Nb1 0.0000 0.0000 0.0000

Version ii
The following is a DFT calculation (PBE-GGA) of Sr2NbMo2 after structural relaxation.

a = 9.1961 Å, b = 9.1961 Å, c = 2.7675 Å
α = 90.00°, β = 90.00°, γ = 90.00°
Sites, in units of the cell vectors:
Sr1 0.3804 0.8804 0.0000
Sr2 0.8804 0.6196 0.0000
Sr3 0.6196 0.1196 0.0000
Sr4 0.1196 0.3804 0.0000
Mo1 0.1863 0.6863 0.5000
Mo2 0.6863 0.8137 0.5000
Mo3 0.8137 0.3137 0.5000
Mo4 0.3137 0.1863 0.5000
Nb1 0.0000 0.0000 0.0000
Nb2 0.5000 0.5000 0.0000

Referenced to the most stable arrangement, the calculated values in kJ/mol of atoms are version i 0.0; version ii 54.9.

Version i
The following is a DFT calculation (PBE-GGA) of Ta2Nb5Mo after structural relaxation.

a = 4.6468 Å, b = 4.6468 Å, c = 7.3856 Å
α = 108.34°, β = 108.34°, γ = 90.00°
Sites, in units of the cell vectors:
Ta1 0.7496 0.7496 0.4991
Ta2 0.2504 0.2504 0.5009
Nb1 0.5000 0.5000 0.0000
Nb2 0.8775 0.3775 0.7551
Nb3 0.3775 0.8775 0.7551
Nb4 0.1225 0.6225 0.2449
Nb5 0.6225 0.1225 0.2449
Mo1 0.0000 0.0000 0.0000

Version ii
The following is a DFT calculation (PBE-GGA) of Ta2Nb5Mo after structural relaxation.

a = 4.6876 Å, b = 5.6023 Å, c = 10.9858 Å
α = 90.00°, β = 90.00°, γ = 90.00°
Sites, in units of the cell vectors:
Ta1 0.5000 0.1545 0.6135
Ta2 0.5000 0.8455 0.3865
Ta3 0.5000 0.3455 0.1135
Ta4 0.5000 0.6545 0.8865
Nb1 0.0000 0.0000 0.0000
Nb2 0.0000 0.5000 0.5000
Nb3 0.0000 0.3524 0.7530
Nb4 0.0000 0.6476 0.2470
Nb5 0.0000 0.1476 0.2530
Nb6 0.0000 0.8524 0.7470
Nb7 0.5000 0.1555 0.8735
Nb8 0.5000 0.8445 0.1265
Nb9 0.5000 0.3445 0.3735
Nb10 0.5000 0.6555 0.6265
Mo1 0.0000 0.0000 0.5000
Mo2 0.0000 0.5000 0.0000

Referenced to the most stable arrangement, the calculated values in kJ/mol of atoms are version i 0.0; version ii 4.7.

Version i
The following is a DFT calculation (PBE-GGA) of Ta6NbMo after structural relaxation.

a = 5.8284 Å, b = 5.8284 Å, c = 5.8284 Å
α = 110.44°, β = 110.44°, γ = 110.44°
Sites, in units of the cell vectors:
Ta1 0.2511 0.7471 0.2511
Ta2 0.2511 0.2511 0.7471
Ta3 0.7489 0.2529 0.7489
Ta4 0.2529 0.7489 0.7489
Ta5 0.7489 0.7489 0.2529
Ta6 0.7471 0.2511 0.2511
Nb1 0.0000 0.0000 0.0000
Mo1 0.5000 0.5000 0.5000

Version ii
The following is a DFT calculation (PBE-GGA) of Ta6NbMo after structural relaxation.

a = 4.6401 Å, b = 5.7230 Å, c = 5.7230 Å
α = 109.07°, β = 90.00°, γ = 90.00°
Sites, in units of the cell vectors:
Ta1 0.5000 0.1250 0.3751
Ta2 0.5000 0.6249 0.8750
Ta3 0.0000 0.3675 0.1174
Ta4 0.0000 0.8826 0.6325
Ta5 0.0000 0.3787 0.6213
Ta6 0.0000 0.8714 0.1286
Nb1 0.5000 0.6250 0.3750
Mo1 0.5000 0.1250 0.8750

Referenced to the most stable arrangement, the calculated values in kJ/mol of atoms are version i 18.9; version ii 0.0.

Version i
The following is a DFT calculation (PBE-GGA) of Ta3Nb6Mo after structural relaxation.

a = 4.6604 Å, b = 8.0749 Å, c = 9.8995 Å
α = 105.42°, β = 90.00°, γ = 90.00°
Sites, in units of the cell vectors:
Ta1 0.2500 0.5484 0.3992
Ta2 0.7500 0.4516 0.6008
Ta3 0.2500 0.3534 0.8004
Ta4 0.7500 0.6466 0.1996
Ta5 0.2500 0.7483 0.0043
Ta6 0.7500 0.2517 0.9957
Nb1 0.2500 0.4482 0.1010
Nb2 0.7500 0.5518 0.8990
Nb3 0.2500 0.1495 0.1960
Nb4 0.7500 0.8505 0.8040
Nb5 0.2500 0.6561 0.6974
Nb6 0.7500 0.3439 0.3026
Nb7 0.2500 0.2425 0.4989
Nb8 0.7500 0.7575 0.5011
Nb9 0.2500 0.8552 0.3071
Nb10 0.7500 0.1448 0.6929
Nb11 0.2500 0.0481 0.8944
Nb12 0.7500 0.9519 0.1056
Mo1 0.2500 0.9505 0.5999
Mo2 0.7500 0.0495 0.4001

Version ii
The following is a DFT calculation (PBE-GGA) of Ta3Nb6Mo after structural relaxation.

a = 5.4042 Å, b = 7.6367 Å, c = 9.3308 Å
α = 90.00°, β = 90.01°, γ = 90.00°
Sites, in units of the cell vectors:
Ta1 0.7052 0.8419 0.7509
Ta2 0.5000 0.5000 0.0000
Ta3 0.2948 0.1581 0.2491
Ta4 0.2051 0.6581 0.2509
Ta5 0.0000 0.0000 0.5000
Ta6 0.7949 0.3419 0.7491
Nb1 0.5418 0.1619 0.9819
Nb2 0.5371 0.1667 0.5195
Nb3 0.7207 0.4433 0.2547
Nb4 0.2793 0.5567 0.7453
Nb5 0.4629 0.8333 0.4805
Nb6 0.4582 0.8381 0.0181
Nb7 0.0418 0.3382 0.4819
Nb8 0.0371 0.3333 0.0195
Nb9 0.2207 0.0567 0.7547
Nb10 0.7793 0.9433 0.2453
Nb11 0.9629 0.6667 0.9805
Nb12 0.9582 0.6618 0.5181
Mo1 0.5000 0.5000 0.5000
Mo2 0.0000 0.0000 0.0000

Referenced to the most stable arrangement, the calculated values in kJ/mol of atoms are version i 0.0; version ii 45.3.

Version i
The following is a DFT calculation (PBE-GGA) of Ta2NbMo after structural relaxation.

a = 3.1999 Å, b = 3.1332 Å, c = 7.5592 Å
α = 101.96°, β = 90.00°, γ = 90.00°
Sites, in units of the cell vectors:
Ta1 0.5000 0.4643 0.9286
Ta2 0.5000 0.6800 0.3601
Nb1 0.0000 0.3091 0.6182
Mo1 0.0000 0.0720 0.1441

Version ii
The following is a DFT calculation (PBE-GGA) of Ta2NbMo after structural relaxation.

a = 3.2777 Å, b = 4.6203 Å, c = 4.6203 Å
α = 90.00°, β = 90.00°, γ = 90.00°
Sites, in units of the cell vectors:
Mo1 0.5000 0.5000 0.5000
Nb1 0.5000 0.0000 0.0000
Ta1 0.0000 0.0000 0.5000
Ta2 0.0000 0.5000 0.0000

Referenced to the most stable arrangement, the calculated values in kJ/mol of atoms are version i 38.4; version ii 0.0.

Version i
The following is a DFT calculation (PBE-GGA) of Ta4Nb3Mo after structural relaxation.

a = 5.1410 Å, b = 6.7398 Å, c = 8.5373 Å
α = 90.00°, β = 90.00°, γ = 90.00°
Sites, in units of the cell vectors:
Ta1 0.1158 0.8971 0.0000
Ta2 0.3757 0.2499 0.0000
Ta3 0.1201 0.0861 0.3018
Ta4 0.6201 0.9139 0.1982
Ta5 0.8757 0.7501 0.5000
Ta6 0.6158 0.1029 0.5000
Ta7 0.6201 0.9139 0.8018
Ta8 0.1201 0.0861 0.6982
Nb1 0.6399 0.6015 0.0000
Nb2 0.1333 0.5881 0.2002
Nb3 0.6333 0.4119 0.2998
Nb4 0.1399 0.3985 0.5000
Nb5 0.6333 0.4119 0.7002
Nb6 0.1333 0.5881 0.7998
Mo1 0.8771 0.2480 0.0000
Mo2 0.3771 0.7520 0.5000

Version ii
The following is a DFT calculation (PBE-GGA) of Ta4Nb3Mo after structural relaxation.

a = 3.2799 Å, b = 3.2799 Å, c = 13.2909 Å
α = 90.00°, β = 90.00°, γ = 90.00°
Sites, in units of the cell vectors:
Nb1 0.5000 0.5000 0.2479
Nb2 0.5000 0.5000 0.5000
Nb3 0.5000 0.5000 0.7521
Mo1 0.5000 0.5000 0.0000
Ta1 0.0000 0.0000 0.8811
Ta2 0.0000 0.0000 0.1189
Ta3 0.0000 0.0000 0.3729
Ta4 0.0000 0.0000 0.6271

Referenced to the most stable arrangement, the calculated values in kJ/mol of atoms are version i 18.8; version ii 0.0.